A relaxed Nd10Sn4N3 crystal, computed with PBE.

Output
Symmetry: I4/mmm (139)
DFT total energy (eV per cell): -104.472

CIF file:
```
data_Nd10Sn4N3
_chemical_formula_sum 'Nd10 Sn4 N3'
_symmetry_space_group_name_H-M 'P 1'
_symmetry_Int_Tables_number 1
_cell_length_a 18.521
_cell_length_b 18.521
_cell_length_c 18.521
_cell_angle_alpha 164.53
_cell_angle_beta 164.53
_cell_angle_gamma 21.94
loop_
_symmetry_equiv_pos_as_xyz
'x,y,z'
loop_
_atom_site_label
_atom_site_type_symbol
_atom_site_fract_x
_atom_site_fract_y
_atom_site_fract_z
Nd1 Nd 0.000 0.500 0.500
Nd2 Nd 0.068 0.068 0.000
Nd3 Nd 0.137 0.637 0.500
Nd4 Nd 0.209 0.209 0.000
Nd5 Nd 0.363 0.863 0.500
Nd6 Nd 0.500 0.000 0.500
Nd7 Nd 0.637 0.137 0.500
Nd8 Nd 0.791 0.791 0.000
Nd9 Nd 0.863 0.363 0.500
Nd10 Nd 0.932 0.932 0.000
Sn1 Sn 0.300 0.300 0.000
Sn2 Sn 0.432 0.432 0.000
Sn3 Sn 0.568 0.568 0.000
Sn4 Sn 0.700 0.700 0.000
N1 N 0.000 0.000 0.000
N2 N 0.141 0.141 0.000
N3 N 0.859 0.859 0.000
```